Entry from the Alexandria database: NaCrRhF6 after structural relaxation (GGA+U).

## Properties
* D(E_F): 0.75 states/eV per atom
* DFT total energy: -5.21 eV per atom

Cell lengths 5.443, 5.443, 9.708 Å; angles 90.00, 90.00, 120.00 degrees
Sites, in units of the cell vectors:
Na 0.000 0.000 0.000
Na 0.000 0.000 0.500
Cr 0.333 0.667 0.250
Cr 0.667 0.333 0.750
Rh 0.333 0.667 0.750
Rh 0.667 0.333 0.250
F 0.029 0.368 0.139
F 0.029 0.660 0.361
F 0.340 0.368 0.361
F 0.340 0.971 0.139
F 0.368 0.029 0.639
F 0.368 0.340 0.861
F 0.632 0.660 0.139
F 0.632 0.971 0.361
F 0.660 0.029 0.861
F 0.660 0.632 0.639
F 0.971 0.340 0.639
F 0.971 0.632 0.861